Entry 1:
Sr2Cu3Br2O4: single point on PBEsol structure, SCAN.

The structure in POSCAR format:
```
Sr2Cu3Br2O4
1.0
-2.720 2.720 6.636
2.720 -2.720 6.636
2.720 2.720 -6.636
Sr Cu Br O
2 3 2 4
direct
0.132 0.132 0.000
0.868 0.868 0.000
0.000 0.500 0.500
0.500 0.000 0.500
0.500 0.500 0.000
0.250 0.750 0.500
0.750 0.250 0.500
0.250 0.250 0.500
0.250 0.750 0.000
0.750 0.250 0.000
0.750 0.750 0.500
```

Properties
E_tot, eV per cell: -172.2
SG: I4/mmm (139)
Total magnetization, μB per atom: 0.094
Raw formation energy, eV per atom: -1.659

=====

Entry 2:
NaPH4O5: single point on PBEsol structure, SCAN.

The structure in POSCAR format:
```
NaPH4O5
1.0
7.546 0.000 0.000
0.000 7.728 0.000
0.000 0.000 7.440
Na P H O
4 4 16 20
direct
0.005 0.015 0.000
0.495 0.515 0.500
0.505 0.485 0.000
0.995 0.985 0.500
0.121 0.379 0.266
0.379 0.879 0.766
0.621 0.121 0.266
0.879 0.621 0.766
0.052 0.403 0.980
0.195 0.728 0.232
0.209 0.657 0.865
0.222 0.411 0.748
0.278 0.911 0.248
0.291 0.157 0.365
0.305 0.228 0.732
0.448 0.903 0.480
0.552 0.097 0.980
0.695 0.772 0.232
0.709 0.843 0.865
0.722 0.089 0.748
0.778 0.589 0.248
0.791 0.343 0.365
0.805 0.272 0.732
0.948 0.597 0.480
0.050 0.546 0.850
0.069 0.304 0.075
0.163 0.853 0.232
0.165 0.213 0.379
0.229 0.006 0.756
0.271 0.506 0.256
0.335 0.713 0.879
0.337 0.353 0.732
0.431 0.804 0.575
0.450 0.046 0.350
0.550 0.954 0.850
0.569 0.196 0.075
0.663 0.647 0.232
0.665 0.287 0.379
0.729 0.494 0.756
0.771 0.994 0.256
0.835 0.787 0.879
0.837 0.147 0.732
0.931 0.696 0.575
0.950 0.454 0.350
```

Properties
E_tot, eV per cell: -313.7
SG: Pna2_1 (33)
Total magnetization, μB per atom: 0.000

=====

Entry 3:
Ca2HgCl: single point on PBEsol structure, SCAN.

The structure in POSCAR format:
```
Ca2HgCl
1.0
7.489 0.000 0.000
0.000 7.489 0.000
0.000 0.000 7.489
Ca Hg Cl
8 4 4
direct
0.250 0.250 0.250
0.250 0.250 0.750
0.250 0.750 0.250
0.250 0.750 0.750
0.750 0.250 0.250
0.750 0.250 0.750
0.750 0.750 0.250
0.750 0.750 0.750
0.000 0.000 0.000
0.000 0.500 0.500
0.500 0.000 0.500
0.500 0.500 0.000
0.000 0.000 0.500
0.000 0.500 0.000
0.500 0.000 0.000
0.500 0.500 0.500
```

Properties
E_tot, eV per cell: -396.7
SG: Fm-3m (225)
Energy above the lowest structure with this stoichiometry, eV per atom: 0.1707
Total magnetization, μB per atom: 0.322
Raw formation energy, eV per atom: -0.925

=====

Entry 4:
Mn3CrNi2P6O24: single point on PBEsol structure, SCAN.

The structure in POSCAR format:
```
Mn3CrNi2P6O24
1.0
4.206 2.428 6.698
-4.206 2.428 6.698
0.000 -4.857 6.698
Mn Cr Ni P O
3 1 2 6 24
direct
0.000 0.000 0.000
0.220 0.220 0.220
0.500 0.500 0.500
0.721 0.721 0.721
0.360 0.360 0.360
0.860 0.860 0.860
0.110 0.821 0.400
0.318 0.610 0.900
0.400 0.110 0.821
0.610 0.900 0.318
0.821 0.400 0.110
0.900 0.318 0.610
0.044 0.856 0.240
0.103 0.306 0.443
0.112 0.769 0.921
0.181 0.980 0.358
0.240 0.044 0.856
0.273 0.617 0.414
0.306 0.443 0.103
0.352 0.546 0.738
0.358 0.181 0.980
0.414 0.273 0.617
0.443 0.103 0.306
0.476 0.678 0.864
0.546 0.738 0.352
0.603 0.948 0.808
0.617 0.414 0.273
0.678 0.864 0.476
0.738 0.352 0.546
0.769 0.921 0.112
0.808 0.603 0.948
0.856 0.240 0.044
0.864 0.476 0.678
0.921 0.112 0.769
0.948 0.808 0.603
0.980 0.358 0.181
```

Properties
E_tot, eV per cell: -398.5
SG: R3 (146)
Total magnetization, μB per atom: 0.476
Raw formation energy, eV per atom: -2.253

=====

Entry 5:
RbCuH2: single point on PBEsol structure, SCAN.

The structure in POSCAR format:
```
RbCuH2
1.0
0.000 3.841 3.841
3.841 0.000 3.841
3.841 3.841 0.000
Rb Cu H
2 2 4
direct
0.125 0.125 0.125
0.875 0.875 0.875
0.375 0.375 0.375
0.625 0.625 0.625
0.000 0.500 0.500
0.500 0.000 0.500
0.500 0.500 0.000
0.500 0.500 0.500
```

Properties
E_tot, eV per cell: -86.8
SG: Fd-3m (227)
Total magnetization, μB per atom: 0.000

=====

Entry 6:
Gd2SeO2: single point on PBEsol structure, SCAN.

The structure in POSCAR format:
```
Gd2SeO2
1.0
3.854 0.000 0.000
-1.927 3.337 0.000
0.000 0.000 6.818
Gd Se O
2 1 2
direct
0.333 0.667 0.289
0.667 0.333 0.711
0.000 0.000 0.000
0.333 0.667 0.626
0.667 0.333 0.374
```

Properties
E_tot, eV per cell: -166.7
SG: P-3m1 (164)
Total magnetization, μB per atom: 2.800
Raw formation energy, eV per atom: -3.313

=====

Entry 7:
Ag3Mo: single point on PBEsol structure, SCAN.

The structure in POSCAR format:
```
Ag3Mo
1.0
2.734 0.000 0.000
0.000 2.734 0.000
0.000 0.000 8.571
Ag Mo
3 1
direct
0.000 0.000 0.000
0.500 0.500 0.251
0.500 0.500 0.749
0.000 0.000 0.500
```

Properties
E_tot, eV per cell: -127.7
SG: P4/mmm (123)
Energy above the lowest structure with this stoichiometry, eV per atom: 0.0000
Formation energy, eV per atom: 0.333
Total magnetization, μB per atom: 0.000

=====

Entry 8:
MnZn2RhI: single point on PBEsol structure, SCAN.

The structure in POSCAR format:
```
MnZn2RhI
1.0
4.744 0.000 0.000
0.000 4.744 0.000
0.000 0.000 4.383
Mn Zn Rh I
1 2 1 1
direct
0.000 0.000 0.000
0.000 0.500 0.000
0.500 0.000 0.000
0.000 0.000 0.500
0.500 0.500 0.500
```

Properties
E_tot, eV per cell: -112.1
SG: P4/mmm (123)
Total magnetization, μB per atom: 0.546
Raw formation energy, eV per atom: 0.737

=====

Entry 9:
HgTeW2: single point on PBEsol structure, SCAN.

The structure in POSCAR format:
```
HgTeW2
1.0
4.159 0.000 0.000
0.000 4.159 0.000
0.000 0.000 8.369
Hg Te W
2 2 4
direct
0.000 0.000 0.000
0.500 0.500 0.500
0.000 0.500 0.250
0.500 0.000 0.750
0.000 0.000 0.500
0.000 0.500 0.750
0.500 0.000 0.250
0.500 0.500 0.000
```

Properties
E_tot, eV per cell: -480.2
SG: I-4m2 (119)
Energy above the lowest structure with this stoichiometry, eV per atom: 0.6795
Total magnetization, μB per atom: 0.000
Raw formation energy, eV per atom: 1.171

=====

Entry 10:
NdAgSn: single point on PBEsol structure, SCAN.

The structure in POSCAR format:
```
NdAgSn
1.0
4.733 0.000 0.000
-2.367 4.099 0.000
0.000 0.000 7.503
Nd Ag Sn
2 2 2
direct
0.000 0.000 0.000
0.000 0.000 0.500
0.333 0.667 0.196
0.667 0.333 0.696
0.333 0.667 0.779
0.667 0.333 0.279
```

Properties
E_tot, eV per cell: -226.2
SG: P6_3mc (186)
Formation energy, eV per atom: -0.746
Total magnetization, μB per atom: 0.000

=====

Entry 11:
Li2CaTa: single point on PBEsol structure, SCAN.

The structure in POSCAR format:
```
Li2CaTa
1.0
2.908 0.000 0.000
0.000 2.908 0.000
0.000 0.000 9.594
Li Ca Ta
2 1 1
direct
0.000 0.000 0.222
0.000 0.000 0.778
0.500 0.500 0.500
0.500 0.500 0.000
```

Properties
E_tot, eV per cell: -78.6
SG: P4/mmm (123)
Energy above the lowest structure with this stoichiometry, eV per atom: 0.0000
Formation energy, eV per atom: 0.618
Total magnetization, μB per atom: 0.007

=====

Entry 12:
Be4TeW: single point on PBEsol structure, SCAN.

The structure in POSCAR format:
```
Be4TeW
1.0
0.000 3.238 3.238
3.238 0.000 3.238
3.238 3.238 0.000
Be Te W
4 1 1
direct
0.379 0.379 0.379
0.379 0.379 0.862
0.379 0.862 0.379
0.862 0.379 0.379
0.000 0.000 0.000
0.750 0.750 0.750
```

Properties
E_tot, eV per cell: -122.9
SG: F-43m (216)
Total magnetization, μB per atom: 0.000
Raw formation energy, eV per atom: 0.242

=====

Entry 13:
Cr4As: single point on PBEsol structure, SCAN.

The structure in POSCAR format:
```
Cr4As
1.0
5.294 0.000 0.000
0.000 5.294 0.000
0.000 0.000 5.294
Cr As
8 2
direct
0.250 0.250 0.250
0.250 0.250 0.750
0.250 0.750 0.250
0.250 0.750 0.750
0.750 0.250 0.250
0.750 0.250 0.750
0.750 0.750 0.250
0.750 0.750 0.750
0.000 0.000 0.000
0.500 0.500 0.500
```

Properties
E_tot, eV per cell: -175.6
SG: Im-3m (229)
Formation energy, eV per atom: 1.183
Total magnetization, μB per atom: 1.104

=====

Entry 14:
CdIn2Re: single point on PBEsol structure, SCAN.

The structure in POSCAR format:
```
CdIn2Re
1.0
3.673 0.000 0.000
0.000 4.382 0.000
0.000 0.000 9.253
Cd In Re
2 4 2
direct
0.000 0.000 0.000
0.500 0.500 0.500
0.000 0.000 0.514
0.000 0.500 0.756
0.500 0.000 0.256
0.500 0.500 0.014
0.000 0.500 0.253
0.500 0.000 0.753
```

Properties
E_tot, eV per cell: -332.5
SG: Imm2 (44)
Formation energy, eV per atom: 0.503
Total magnetization, μB per atom: 0.000

=====

Entry 15:
LiTl4Si: single point on PBEsol structure, SCAN.

The structure in POSCAR format:
```
LiTl4Si
1.0
0.000 4.368 4.368
4.368 0.000 4.368
4.368 4.368 0.000
Li Tl Si
1 4 1
direct
0.000 0.000 0.000
0.126 0.625 0.625
0.625 0.126 0.625
0.625 0.625 0.126
0.625 0.625 0.625
0.250 0.250 0.250
```

Properties
E_tot, eV per cell: -299.3
SG: F-43m (216)
Total magnetization, μB per atom: 0.000
Raw formation energy, eV per atom: 0.424

=====

Entry 16:
Ca2SiTeI: single point on PBEsol structure, SCAN.

The structure in POSCAR format:
```
Ca2SiTeI
1.0
5.688 0.000 0.000
0.000 5.688 0.000
0.000 0.000 5.936
Ca Si Te I
2 1 1 1
direct
0.000 0.500 0.000
0.500 0.000 0.000
0.000 0.000 0.500
0.500 0.500 0.500
0.500 0.500 0.000
```

Properties
E_tot, eV per cell: -101.4
SG: P4/mmm (123)
Total magnetization, μB per atom: 0.000
Raw formation energy, eV per atom: 0.394

=====

Entry 17:
LiSb2Te: single point on PBEsol structure, SCAN.

The structure in POSCAR format:
```
LiSb2Te
1.0
3.331 0.000 0.000
-1.666 2.885 0.000
0.000 0.000 29.774
Li Sb Te
3 6 3
direct
0.000 0.000 0.000
0.333 0.667 0.667
0.667 0.333 0.333
0.000 0.000 0.258
0.000 0.000 0.742
0.333 0.667 0.409
0.333 0.667 0.925
0.667 0.333 0.075
0.667 0.333 0.591
0.000 0.000 0.500
0.333 0.667 0.167
0.667 0.333 0.833
```

Properties
E_tot, eV per cell: -341.4
SG: R-3m (166)
Total magnetization, μB per atom: 0.000
Raw formation energy, eV per atom: 0.094

=====

Entry 18:
BeSiBiOs2: single point on PBEsol structure, SCAN.

The structure in POSCAR format:
```
BeSiBiOs2
1.0
4.508 0.000 0.000
0.000 4.508 0.000
0.000 0.000 4.176
Be Si Bi Os
1 1 1 2
direct
0.000 0.000 0.000
0.000 0.000 0.500
0.500 0.500 0.000
0.000 0.500 0.500
0.500 0.000 0.500
```

Properties
E_tot, eV per cell: -231.6
SG: P4/mmm (123)
Total magnetization, μB per atom: 0.000
Raw formation energy, eV per atom: 1.013

=====

Entry 19:
Ce2Fe17C: single point on PBEsol structure, SCAN.

The structure in POSCAR format:
```
Ce2Fe17C
1.0
4.736 -4.159 0.000
4.736 4.159 0.000
-1.013 0.000 6.184
Ce Fe C
2 17 1
direct
0.166 0.166 0.359
0.834 0.834 0.641
0.000 0.500 0.000
0.156 0.156 0.849
0.159 0.655 0.344
0.212 0.502 0.714
0.217 0.783 0.000
0.345 0.841 0.656
0.403 0.403 0.096
0.498 0.788 0.286
0.500 0.000 0.000
0.500 0.500 0.500
0.502 0.212 0.714
0.597 0.597 0.904
0.655 0.159 0.344
0.783 0.217 0.000
0.788 0.498 0.286
0.841 0.345 0.656
0.844 0.844 0.151
0.000 0.000 0.000
```

Properties
E_tot, eV per cell: -406.9
SG: C2/m (12)
Formation energy, eV per atom: 0.026
Total magnetization, μB per atom: 1.906

=====

Entry 20:
AlCuOs2: single point on PBEsol structure, SCAN.

The structure in POSCAR format:
```
AlCuOs2
1.0
3.767 0.000 0.000
0.000 3.767 0.000
0.000 0.000 7.574
Al Cu Os
2 2 4
direct
0.000 0.000 0.000
0.500 0.500 0.500
0.000 0.000 0.500
0.500 0.500 0.000
0.000 0.500 0.250
0.000 0.500 0.750
0.500 0.000 0.250
0.500 0.000 0.750
```

Properties
E_tot, eV per cell: -332.1
SG: I4/mmm (139)
Formation energy, eV per atom: 0.163
Total magnetization, μB per atom: 0.000